# LiLaHoRh

A geometry-optimized LiLaHoRh structure (PBE, Alexandria via LeMat-Bulk).

Calculated values
Formation energy in kJ/mol of atoms: -38.4
Magnetic moment in μB/atom: 0.000
DFT total energy in eV/atom: -5.090

```
4
Lattice="0.000 3.575 3.575 3.575 0.000 3.575 3.575 3.575 0.000" Properties=species:S:1:pos:R:3 pbc="T T T"
Li 0.000 0.000 0.000
La 1.787 1.787 1.787
Ho 5.362 5.362 5.362
Rh 3.575 3.575 3.575
```



# Sr2Co

A geometry-optimized Sr2Co structure (PBE, Alexandria via LeMat-Bulk).

Calculated values
Formation energy in kJ/mol of atoms: 51.8
Magnetic moment in μB/atom: 0.245
DFT total energy in eV/atom: -2.953

```
6
Lattice="5.393 0.000 0.000 -2.696 4.670 0.000 0.000 0.000 7.423" Properties=species:S:1:pos:R:3 pbc="T T T"
Sr 0.000 0.000 0.000
Sr 0.000 0.000 3.712
Sr 0.000 3.113 1.856
Sr 2.696 1.557 5.567
Co 0.000 3.113 5.567
Co 2.696 1.557 1.856
```



# TbErBe2Si2

A geometry-optimized TbErBe2Si2 structure (PBE, Alexandria via LeMat-Bulk).

Calculated values
Magnetic moment in μB/atom: 0.000
DFT total energy in eV/atom: -5.239
Formation energy from raw total energies in kcal/mol of atoms: -15.2

```
6
Lattice="3.864 0.000 0.000 -1.932 3.346 0.000 0.000 0.000 8.036" Properties=species:S:1:pos:R:3 pbc="T T T"
Tb 0.000 0.000 0.000
Er 0.000 0.000 4.018
Be 0.000 2.231 5.998
Be 1.932 1.115 2.038
Si 0.000 2.231 2.035
Si 1.932 1.115 6.001
```



# NiH3Pt

A geometry-optimized NiH3Pt structure (PBE, Alexandria via LeMat-Bulk).

Calculated values
Magnetic moment in μB/atom: 0.000
DFT total energy in eV/atom: -4.117

```
5
Lattice="3.456 0.000 0.000 0.000 3.456 0.000 0.000 0.000 3.456" Properties=species:S:1:pos:R:3 pbc="T T T"
Ni 0.000 0.000 0.000
H 0.000 1.728 1.728
H 1.728 0.000 1.728
H 1.728 1.728 0.000
Pt 1.728 1.728 1.728
```



# HfTaNi

A geometry-optimized HfTaNi structure (PBE, Alexandria via LeMat-Bulk).

Calculated values
E above lowest polymorph in meV/atom: 10
Formation energy in kJ/mol of atoms: -25.5
Magnetic moment in μB/atom: 0.000
DFT total energy in eV/atom: -9.460

```
12
Lattice="0.000 4.313 9.081 2.562 0.000 9.081 2.562 4.313 0.000" Properties=species:S:1:pos:R:3 pbc="T T T"
Hf 1.921 0.394 6.811
Hf 3.202 2.551 11.351
Hf 1.921 6.075 6.811
Hf 3.202 8.231 11.351
Ta 1.921 3.234 5.368
Ta 1.921 3.234 8.254
Ta 3.202 5.391 9.908
Ta 3.202 5.391 12.794
Ni 0.640 1.078 0.012
Ni 0.640 1.078 4.529
Ni 4.483 7.547 13.633
Ni 4.483 7.547 18.150
```



# TbPm2SmBi4

A geometry-optimized TbPm2SmBi4 structure (PBE, Alexandria via LeMat-Bulk).

Calculated values
Formation energy in kJ/mol of atoms: -88.8
Magnetic moment in μB/atom: 0.000
DFT total energy in eV/atom: -5.217

```
8
Lattice="7.884 0.000 0.000 0.000 4.555 0.000 -2.628 0.000 7.433" Properties=species:S:1:pos:R:3 pbc="T T T"
Tb 0.000 0.000 0.000
Pm 2.628 0.000 3.717
Pm 3.942 2.277 0.000
Sm -1.314 2.277 3.717
Bi 1.289 2.277 1.833
Bi -0.026 0.000 5.583
Bi 5.281 0.000 1.851
Bi 3.966 2.277 5.600
```



# Ti2RuW

A geometry-optimized Ti2RuW structure (PBE, Alexandria via LeMat-Bulk).

Calculated values
Formation energy in kJ/mol of atoms: -31.8
Magnetic moment in μB/atom: 0.000
DFT total energy in eV/atom: -9.835

```
4
Lattice="4.436 0.000 0.000 0.000 4.436 0.000 0.000 0.000 3.106" Properties=species:S:1:pos:R:3 pbc="T T T"
Ti 0.000 2.218 0.000
Ti 2.218 0.000 0.000
Ru 0.000 0.000 1.553
W 2.218 2.218 1.553
```



# PmNd12Tm6

A geometry-optimized PmNd12Tm6 structure (PBE, Alexandria via LeMat-Bulk).

Calculated values
E above lowest polymorph in meV/atom: 209
Formation energy in kJ/mol of atoms: 21.8
Magnetic moment in μB/atom: 0.000
DFT total energy in eV/atom: -4.447

```
19
Lattice="-5.451 5.451 5.451 5.451 -5.451 5.451 5.451 5.451 -5.451" Properties=species:S:1:pos:R:3 pbc="T T T"
Pm 0.000 0.000 0.000
Nd 5.451 -2.569 3.300
Nd 2.882 2.151 0.000
Nd 8.020 2.151 0.000
Nd 3.300 5.451 -2.569
Nd 2.151 0.000 2.882
Nd 0.000 2.882 2.151
Nd 5.451 2.569 3.300
Nd 3.300 5.451 2.569
Nd 2.151 0.000 8.020
Nd -2.569 3.300 5.451
Nd 2.569 3.300 5.451
Nd 0.000 8.020 2.151
Tm 5.451 0.000 1.549
Tm 5.451 3.902 0.000
Tm 1.549 5.451 0.000
Tm 3.902 0.000 5.451
Tm 0.000 1.549 5.451
Tm 0.000 5.451 3.902
```



Q: Among the records above, which one has the lowest DFT total energy?
A: Ti2RuW



Q: What is the formula in the sixth record?
A: TbPm2SmBi4



Q: What is the formula in the second record?
A: Sr2Co



Q: Which of these has the highest magnetic moment?
A: Sr2Co